[1]
Compound: AlBPd5
Source: Alexandria
Functional: GGA-PBE
Structure: optimized geometry

Properties
**ΔH_f (0 K)**: -0.24 eV/atom
**Space group**: Imma (74)

Cell: 6.6869 6.6869 7.7561 Å, 54.55 54.55 76.85°
Closest atoms and distances in Å follow each position.
Sites, in units of the cell vectors:
Pd1 0.7059 0.7059 0.7941  1 B 2.07
Pd2 0.2361 0.7638 0.0767  1 B 2.05
Pd3 0.7059 0.7059 0.2941  1 B 2.07
Pd4 0.7638 0.2361 0.5767  1 B 2.05
Pd5 0.7639 0.2362 0.9233  1 B 2.05
Pd6 0.9061 0.0939 0.2500  2 B 2.09
Pd7 0.2362 0.7639 0.4233  1 B 2.05
Pd8 0.2941 0.2941 0.2059  1 B 2.07
Pd9 0.0939 0.9061 0.7500  2 B 2.09
Pd10 0.2941 0.2941 0.7059  1 B 2.07
Al1 0.3995 0.6005 0.7500  5 Pd 2.54-2.56
Al2 0.6005 0.3995 0.2500  5 Pd 2.54-2.56
B1 0.0000 0.0000 0.5000  6 Pd 2.05-2.09
B2 0.0000 0.0000 0.0000  6 Pd 2.05-2.09

---

[2]
Compound: Mg4BiPb2
Source: Alexandria
Functional: GGA-PBE
Structure: optimized geometry

Properties
**ΔH_f (0 K)**: -0.05 eV/atom
**Space group**: P1 (1)

Cell: 8.2826 8.2929 7.5900 Å, 112.58 112.46 106.42°
Closest atoms and distances in Å follow each position.
Sites, in units of the cell vectors:
Mg1 0.6587 0.0277 0.6407  2 Pb 2.93-3.06, 2 Bi 2.96-3.18, 1 Mg 3.22
Mg2 0.3631 0.0703 0.8736  2 Bi 3.06-3.32, 4 Pb 3.06-3.25, 2 Mg 3.15-3.22
Mg3 0.5042 0.6483 0.7253  2 Bi 3.11-3.24, 4 Pb 3.12-3.38, 4 Mg 3.34-3.46
Mg4 0.8892 0.8629 0.2596  3 Pb 2.97-3.01, 1 Mg 3.16, 2 Bi 3.18-3.27
Mg5 0.2782 0.4095 0.1404  2 Pb 2.92-3.06, 2 Bi 2.96-3.19, 1 Mg 3.22
Mg6 0.1133 0.6389 0.7621  3 Pb 2.97-3.01, 1 Mg 3.15, 2 Bi 3.18-3.29
Mg7 0.9010 0.2561 0.2269  2 Bi 3.11-3.23, 4 Pb 3.11-3.38, 4 Mg 3.34-3.46
Mg8 0.3221 0.1154 0.3740  4 Pb 3.06-3.25, 2 Bi 3.06-3.34, 2 Mg 3.16-3.22
Bi1 0.9602 0.9482 0.9014  7 Mg 2.96-3.27
Bi2 0.1983 0.7105 0.4017  7 Mg 2.96-3.29
Pb1 0.6720 0.4258 0.4168  5 Mg 2.97-3.25
Pb2 0.6744 0.4211 0.9189  5 Mg 2.97-3.25
Pb3 0.1768 0.2865 0.6786  7 Mg 2.92-3.21
Pb4 0.5383 0.9287 0.1800  7 Mg 2.93-3.22

---

[3]
Compound: Cd3SCl
Source: Alexandria
Functional: GGA-PBE
Structure: optimized geometry

Properties
**Space group**: Pm-3m (221)
**Formation energy without anion corrections**: -0.225 eV/f.u.

Cell: 5.3554 5.3554 5.3554 Å, 90.00 90.00 90.00°
Closest atoms and distances in Å follow each position.
Sites, in units of the cell vectors:
Cd1 0.0000 0.5000 0.0000  2 S 2.68
Cd2 0.5000 0.0000 0.0000  2 S 2.68
Cd3 0.0000 0.0000 0.5000  2 S 2.68
Cl1 0.5000 0.5000 0.5000  12 Cd 3.79
S1 0.0000 0.0000 0.0000  6 Cd 2.68

---

[4]
Compound: ZnCu
Source: Alexandria
Functional: GGA-PBE
Structure: optimized geometry

Properties
**ΔH_f (0 K)**: 0.03 eV/atom
**Space group**: Pnma (62)

Cell: 2.5986 6.3194 6.7609 Å, 90.00 90.00 90.00°
Closest atoms and distances in Å follow each position.
Sites, in units of the cell vectors:
Cu1 0.7500 0.8315 0.4634  4 Cu 2.54-2.60, 6 Zn 2.58-2.64
Cu2 0.2500 0.6685 0.9634  4 Cu 2.54-2.60, 6 Zn 2.58-2.64
Cu3 0.2500 0.1685 0.5366  4 Cu 2.54-2.60, 6 Zn 2.58-2.64
Cu4 0.7500 0.3315 0.0366  4 Cu 2.54-2.60, 6 Zn 2.58-2.64
Zn1 0.2500 0.0150 0.1810  6 Cu 2.58-2.64, 4 Zn 2.60-2.78
Zn2 0.7500 0.4850 0.6810  6 Cu 2.58-2.64, 4 Zn 2.60-2.78
Zn3 0.7500 0.9850 0.8190  6 Cu 2.58-2.64, 4 Zn 2.60-2.78
Zn4 0.2500 0.5150 0.3190  6 Cu 2.58-2.64, 4 Zn 2.60-2.78

---

[5]
Compound: Ba2MnSiPd
Source: Alexandria
Functional: GGA-PBE
Structure: optimized geometry

Properties
**Space group**: P4/mmm (123)
**Formation energy without anion corrections**: 1.037 eV/f.u.

Cell: 6.3365 4.5295 6.3365 Å, 90.00 90.00 90.00°
Closest atoms and distances in Å follow each position.
Sites, in units of the cell vectors:
Ba1 0.0000 0.0000 0.5000  2 Si 3.17
Ba2 0.5000 0.0000 0.0000  2 Si 3.17
Pd1 0.0000 0.5000 0.0000  2 Si 2.26
Si1 0.0000 0.0000 0.0000  2 Pd 2.26
Mn1 0.5000 0.5000 0.5000  8 Ba 3.89

---

[6]
Compound: BaSrTl4
Source: Alexandria
Functional: GGA-PBE
Structure: optimized geometry

Properties
**ΔH_f (0 K)**: -0.28 eV/atom
**Space group**: F-43m (216)

Cell: 6.6054 6.6054 6.6054 Å, 60.00 60.00 60.00°
Closest atoms and distances in Å follow each position.
Sites, in units of the cell vectors:
Tl1 0.6252 0.6252 0.1245  6 Tl 3.30-3.31
Tl2 0.1245 0.6252 0.6252  6 Tl 3.30-3.31
Tl3 0.6252 0.6252 0.6252  6 Tl 3.30-3.31
Tl4 0.6252 0.1245 0.6252  6 Tl 3.30-3.31
Ba1 0.2500 0.2500 0.2500  12 Tl 3.87, 4 Sr 4.04
Sr1 0.0000 0.0000 0.0000  12 Tl 3.87, 4 Ba 4.04

---

[7]
Compound: Sr3CrOs
Source: Alexandria
Functional: GGA-PBE
Structure: optimized geometry

Properties
**ΔH_f (0 K)**: 0.84 eV/atom
**Space group**: Pm-3m (221)

Cell: 5.8014 5.8014 5.8014 Å, 90.00 90.00 90.00°
Closest atoms and distances in Å follow each position.
Sites, in units of the cell vectors:
Sr1 0.0000 0.5000 0.0000  2 Os 2.90
Sr2 0.5000 0.0000 0.0000  2 Os 2.90
Sr3 0.0000 0.0000 0.5000  2 Os 2.90
Cr1 0.5000 0.5000 0.5000  12 Sr 4.10
Os1 0.0000 0.0000 0.0000  6 Sr 2.90

---

[8]
Compound: ZrIn
Source: Alexandria
Functional: GGA-PBE
Structure: optimized geometry

Properties
**ΔH_f (0 K)**: 0.00 eV/atom
**Space group**: P6_3/m (176)

Cell: 8.1817 8.1817 5.3046 Å, 90.00 90.00 120.00°
Closest atoms and distances in Å follow each position.
Sites, in units of the cell vectors:
In1 0.9058 0.3861 0.2500  5 Zr 3.07-3.23, 4 In 3.08-3.16
In2 0.5197 0.9058 0.7500  5 Zr 3.07-3.23, 4 In 3.08-3.16
In3 0.0942 0.6139 0.7500  5 Zr 3.07-3.23, 4 In 3.08-3.16
In4 0.3861 0.4803 0.7500  5 Zr 3.07-3.23, 4 In 3.08-3.16
In5 0.6139 0.5197 0.2500  5 Zr 3.07-3.23, 4 In 3.08-3.16
In6 0.4803 0.0942 0.2500  5 Zr 3.07-3.23, 4 In 3.08-3.16
Zr1 0.0458 0.8115 0.2500  6 Zr 3.05-3.18, 5 In 3.07-3.23
Zr2 0.2343 0.0458 0.7500  6 Zr 3.05-3.18, 5 In 3.07-3.23
Zr3 0.1885 0.2343 0.2500  6 Zr 3.05-3.18, 5 In 3.07-3.23
Zr4 0.9542 0.1885 0.7500  6 Zr 3.05-3.18, 5 In 3.07-3.23
Zr5 0.8115 0.7657 0.7500  6 Zr 3.05-3.18, 5 In 3.07-3.23
Zr6 0.7657 0.9542 0.2500  6 Zr 3.05-3.18, 5 In 3.07-3.23

---

Number 1: V 16.21 A^3/atom. Number 2: V 27.46 A^3/atom. Number 3: V 30.72 A^3/atom. Number 4: V 13.88 A^3/atom. Number 5: V 36.37 A^3/atom. Number 6: V 33.97 A^3/atom. Number 7: V 39.05 A^3/atom. Number 8: V 25.63 A^3/atom.